Here is NbBAs after structural relaxation from Alexandria via LeMat-Bulk. Energies are from GGA-PBE.

Geometry as POSCAR:
```
NbBAs
1.0
3.258 0.000 0.000
0.000 3.389 0.000
0.000 1.695 8.115
B Nb As
2 2 2
Direct
0.750 0.475 0.050
0.250 0.525 0.950
0.250 0.922 0.157
0.750 0.078 0.843
0.250 0.665 0.670
0.750 0.335 0.330
```

Output
Space-group type = No. 63
Crystal system = orthorhombic
ΔE_f = -0.45 eV per atom
V = 44.8 Å³/f.u.